Record 1
Na3Co2 PBE optimized geometry; M_tot = 0.69 μB per atom; DFT total energy = -2.83 eV/atom
1.0
-6.0258 0.0000 0.0000
3.0129 -5.2185 0.0000
-3.0129 1.7395 6.7762
Co Na
4 6
direct
0.6987 0.3013 0.9040
0.1987 0.8013 0.4040
0.8013 0.1987 0.5960
0.3013 0.6987 0.0960
0.2384 0.7384 0.7500
0.7384 0.7500 0.2500
0.2500 0.2384 0.2500
0.2616 0.2500 0.7500
0.7616 0.2616 0.2500
0.7500 0.7616 0.7500


Record 2
NaCo2 PBE optimized geometry; M_tot = 1.23 μB per atom; DFT total energy = -3.48 eV/atom
1.0
4.7913 0.0000 0.0000
0.0000 4.7913 0.0000
0.0000 0.0000 4.9398
Co Na
4 2
direct
0.3489 0.3489 0.0000
0.8489 0.1511 0.5000
0.6511 0.6511 0.0000
0.1511 0.8489 0.5000
0.0000 0.0000 0.0000
0.5000 0.5000 0.5000


Record 3
Na2Co PBE optimized geometry; energy above the most stable polymorph in this dataset = 81 meV per atom; M_tot = 0.54 μB per atom; DFT total energy = -2.21 eV/atom
1.0
3.2978 0.8055 4.2438
3.5113 4.1477 -0.0362
-0.7890 4.2569 3.2849
Na Co
4 2
direct
0.1250 0.6250 0.6250
0.6250 0.6250 0.1250
0.6250 0.6250 0.6250
0.6250 0.1250 0.6250
0.2500 0.2500 0.2500
0.0000 0.0000 0.0000


Record 4
NaNbCo PBE optimized geometry; energy above the most stable polymorph in this dataset = 0 meV per atom; M_tot = 0.05 μB per atom; DFT total energy = -5.17 eV/atom
1.0
0.0000 2.9902 2.9902
2.9902 0.0000 2.9902
2.9902 2.9902 0.0000
Co Na Nb
1 1 1
direct
0.0000 0.0000 0.0000
0.2500 0.2500 0.2500
0.7500 0.7500 0.7500


Record 5
NaNbCoS3 PBE optimized geometry; M_tot = 0.17 μB per atom; DFT total energy = -6.05 eV/atom
1.0
2.1397 0.4467 -6.5890
-4.1688 -2.6008 4.9040
-6.0725 6.8970 -1.5043
S Na Co Nb
6 2 2 2
direct
0.3703 0.6297 0.0658
0.9212 0.0788 0.7500
0.3703 0.6297 0.4342
0.6297 0.3703 0.9342
0.0788 0.9212 0.2500
0.6297 0.3703 0.5658
0.2483 0.7517 0.7500
0.7517 0.2483 0.2500
0.4748 0.5252 0.2500
0.5252 0.4748 0.7500
0.0000 0.0000 0.0000
0.0000 0.0000 0.5000


Record 6
NaScNbCo PBE optimized geometry; energy above the most stable polymorph in this dataset = 0 meV per atom; M_tot = 0.00 μB per atom; DFT total energy = -5.73 eV/atom
1.0
0.0000 3.2332 3.2332
3.2332 0.0000 3.2332
3.2332 3.2332 0.0000
Na Nb Co Sc
1 1 1 1
direct
0.7500 0.7500 0.7500
0.5000 0.5000 0.5000
0.2500 0.2500 0.2500
0.0000 0.0000 0.0000


Record 7
NaYNbCo PBE optimized geometry; energy above the most stable polymorph in this dataset = 367 meV per atom; M_tot = 0.44 μB per atom; DFT total energy = -5.29 eV/atom
1.0
0.0000 3.4420 3.4420
3.4420 0.0000 3.4420
3.4420 3.4420 0.0000
Y Nb Na Co
1 1 1 1
direct
0.2500 0.2500 0.2500
0.5000 0.5000 0.5000
0.7500 0.7500 0.7500
0.0000 0.0000 0.0000


Record 8
NaYNbCo PBE optimized geometry; energy above the most stable polymorph in this dataset = 150 meV per atom; M_tot = 0.00 μB per atom; DFT total energy = -5.51 eV/atom
1.0
0.0000 3.3512 3.3512
3.3512 0.0000 3.3512
3.3512 3.3512 0.0000
Na Co Nb Y
1 1 1 1
direct
0.7500 0.7500 0.7500
0.5000 0.5000 0.5000
0.2500 0.2500 0.2500
0.0000 0.0000 0.0000


Record 9
NaYNbCo PBE optimized geometry; energy above the most stable polymorph in this dataset = 0 meV per atom; M_tot = 0.02 μB per atom; DFT total energy = -5.66 eV/atom
1.0
0.0000 3.3502 3.3502
3.3502 0.0000 3.3502
3.3502 3.3502 0.0000
Na Nb Y Co
1 1 1 1
direct
0.7500 0.7500 0.7500
0.5000 0.5000 0.5000
0.0000 0.0000 0.0000
0.2500 0.2500 0.2500


Record 10
NaNdCo PBE optimized geometry; energy above the most stable polymorph in this dataset = 0 meV per atom; M_tot = 0.15 μB per atom; DFT total energy = -3.86 eV/atom
1.0
-1.7945 -0.4797 4.3195
-4.5387 0.9496 0.7790
-3.0084 -3.4941 0.9213
Co Nd Na
1 1 1
direct
0.0000 0.0000 0.0000
0.7500 0.7500 0.7500
0.2500 0.2500 0.2500


Record 11
NaNdCo PBE optimized geometry; energy above the most stable polymorph in this dataset = 406 meV per atom; M_tot = 0.20 μB per atom; DFT total energy = -3.45 eV/atom
1.0
0.0000 3.3693 3.3693
3.3693 0.0000 3.3693
3.3693 3.3693 0.0000
Na Nd Co
1 1 1
direct
0.7500 0.7500 0.7500
0.0000 0.0000 0.0000
0.2500 0.2500 0.2500